A plane-wave DFT calculation with GGA-PBE was carried out for a relaxed structure of GdCoSi2Ag.

```
GdCoSi2Ag
1.0
0.838 0.113 5.753
1.945 4.813 2.621
-4.102 -1.573 -3.810
Gd Co Ag Si
1 1 1 2
direct
0.250 0.750 0.500
0.500 0.500 0.000
0.000 0.000 0.000
0.867 0.367 0.500
0.633 0.133 0.500
```

Results
Final energy   -27.78 eV/cell
Magnetic moment   0.189 μB/atom
SG   No. 119